[1]
This record from Alexandria via LeMat-Bulk describes crystalline Mn2InBiSb at its relaxed geometry. The functional is PBE-GGA.

Values from the calculation:
The density of states at the Fermi level is 4.01 states/eV per cell. The volume comes out at 31.13 Å³/atom. Its uncorrected formation energy is 3.86 eV/f.u.

Cell: 5.0475 6.1084 5.0475 Å, 90.00 90.00 90.00°
Closest atoms and distances in Å follow each position.
Atoms (fractional coordinates):
Sb 0.0000 0.0000 0.0000  4 Mn 2.52
Mn 0.0000 0.0000 0.5000  2 Sb 2.52
Mn 0.5000 0.0000 0.0000  2 Sb 2.52
Bi 0.0000 0.5000 0.0000  2 Sb 3.05
In 0.5000 0.5000 0.5000  4 Bi 3.57, 8 Mn 3.96

[2]
This record from Alexandria via LeMat-Bulk describes crystalline MnIn2BiSb at its relaxed geometry. The functional is PBE-GGA.

Values from the calculation:
The density of states at the Fermi level is 10.32 states/eV per cell. The volume comes out at 26.32 Å³/atom. Its uncorrected formation energy is 1.97 eV/f.u.

Cell: 5.2046 4.8578 5.2046 Å, 90.00 90.00 90.00°
Closest atoms and distances in Å follow each position.
Atoms (fractional coordinates):
Sb 0.0000 0.5000 0.0000  2 Mn 2.43
Mn 0.0000 0.0000 0.0000  2 Sb 2.43, 4 In 2.60
Bi 0.5000 0.5000 0.5000  8 In 3.56, 4 Sb 3.68
In 0.0000 0.0000 0.5000  2 Mn 2.60
In 0.5000 0.0000 0.0000  2 Mn 2.60

[3]
This record from Alexandria via LeMat-Bulk describes crystalline MnInTc2Bi at its relaxed geometry. The functional is PBE-GGA.

Values from the calculation:
As for the energy of formation from the pure elements: 5.5 eV/f.u. The density of states at the Fermi level is 6.02 states/eV per cell. The volume comes out at 20.50 Å³/atom.

Cell: 4.5829 4.8794 4.5829 Å, 90.00 90.00 90.00°
Closest atoms and distances in Å follow each position.
Atoms (fractional coordinates):
Tc 0.0000 0.0000 0.5000  2 Mn 2.29
Tc 0.5000 0.0000 0.0000  2 Mn 2.29
Mn 0.0000 0.0000 0.0000  4 Tc 2.29, 2 Bi 2.44
Bi 0.0000 0.5000 0.0000  2 Mn 2.44
In 0.5000 0.5000 0.5000  4 Bi 3.24, 8 Tc 3.35